# 1
Density functional theory data (PBE) for a relaxed K2Nb3Br9 crystal.

a b c (Å): 10.357 10.357 10.249
angles (deg): 102.55 102.55 117.46
Atoms (fractional coordinates):
1 K 0.052 0.730 0.669
2 K 0.270 0.948 0.331
3 K 0.730 0.052 0.669
4 K 0.948 0.270 0.331
5 Nb 0.287 0.455 0.866
6 Nb 0.384 0.384 0.124
7 Nb 0.455 0.287 0.866
8 Nb 0.545 0.713 0.134
9 Nb 0.616 0.616 0.876
10 Nb 0.713 0.545 0.134
11 Br 0.003 0.607 0.321
12 Br 0.098 0.306 0.988
13 Br 0.182 0.182 0.672
14 Br 0.230 0.230 0.289
15 Br 0.293 0.707 0.000
16 Br 0.306 0.098 0.988
17 Br 0.380 0.585 0.685
18 Br 0.393 0.997 0.679
19 Br 0.415 0.620 0.315
20 Br 0.585 0.380 0.685
21 Br 0.607 0.003 0.321
22 Br 0.620 0.415 0.315
23 Br 0.694 0.902 0.012
24 Br 0.707 0.293 0.000
25 Br 0.770 0.770 0.711
26 Br 0.818 0.818 0.328
27 Br 0.902 0.694 0.012
28 Br 0.997 0.393 0.679

Calculated values
- total DFT energy (no corrections) (eV/cell) = -127.2
- SG = C2/m, No. 12
- magnetic moment (μB/cell) = 0.0



# 2
Density functional theory data (PBE) for a relaxed PmPuHg crystal.

a b c (Å): 7.137 7.137 7.137
angles (deg): 90.00 90.00 90.00
Atoms (fractional coordinates):
1 Pm 0.000 0.000 0.000
2 Pm 0.000 0.500 0.500
3 Pm 0.500 0.000 0.500
4 Pm 0.500 0.500 0.000
5 Pu 0.250 0.250 0.750
6 Pu 0.250 0.750 0.250
7 Pu 0.750 0.250 0.250
8 Pu 0.750 0.750 0.750
9 Hg 0.000 0.000 0.500
10 Hg 0.000 0.500 0.000
11 Hg 0.500 0.000 0.000
12 Hg 0.500 0.500 0.500

Calculated values
- total DFT energy (no corrections) (eV/cell) = -73.3
- SG = F-43m, No. 216
- energy of formation (eV per atom) = 0.2843
- magnetic moment (μB/cell) = 23.6



# 3
Density functional theory data (PBE) for a relaxed NpCoTc crystal.

a b c (Å): 5.887 5.887 5.887
angles (deg): 90.00 90.00 90.00
Atoms (fractional coordinates):
1 Np 0.000 0.000 0.000
2 Np 0.000 0.500 0.500
3 Np 0.500 0.000 0.500
4 Np 0.500 0.500 0.000
5 Co 0.250 0.250 0.250
6 Co 0.250 0.750 0.750
7 Co 0.750 0.250 0.750
8 Co 0.750 0.750 0.250
9 Tc 0.000 0.000 0.500
10 Tc 0.000 0.500 0.000
11 Tc 0.500 0.000 0.000
12 Tc 0.500 0.500 0.500

Calculated values
- total DFT energy (no corrections) (eV/cell) = -114.8
- SG = F-43m, No. 216
- energy of formation (eV per atom) = 0.5086
- magnetic moment (μB/cell) = 0.1



What are the V values for these records? In order: 31.64, 30.29, 17.00 A^3/atom.